DFT (PBE with a Hubbard U) results for a relaxed structure of Ni2WF.

abc: 4.2267 4.2267 4.2267
angles: 60.00 60.00 60.00
Atoms (fractional coordinates):
1 Ni 0.2500 0.2500 0.2500
2 Ni 0.7500 0.7500 0.7500
3 W 0.0000 0.0000 0.0000
4 F 0.5000 0.5000 0.5000

The value obtained for the total energy is -2.47 eV per atom. The density of states at the Fermi level is 1.5 states/eV/f.u. As for the crystal system: cubic. The value obtained for the polymorph energy (0 for the lowest one) is 123 meV per atom.